1.
PBE AgP5, relaxed; energy relative to the lowest polymorph listed for this composition = 0.4614 eV per atom; calculated formation energy = 0.72 eV/atom; DOS(E_F) = 1.60 states/eV/cell; energy = -4.267 eV per atom
1.0
2.504 -4.337 0.000
2.504 4.337 0.000
0.000 0.000 4.537
Ag P
1 5
Cartesian
0.000 0.000 0.000 Ag
2.504 1.446 0.000 P
2.504 -1.446 0.000 P
1.252 -2.168 2.268 P
1.252 2.168 2.268 P
2.504 0.000 2.268 P

***

2.
PBE PrMg3Au, relaxed; calculated formation energy = -0.33 eV/atom; DOS(E_F) = 6.84 states/eV/cell; energy = -2.903 eV per atom
1.0
5.061 0.000 -0.012
0.000 7.156 0.000
0.000 0.000 6.606
Pr Mg Au
2 6 2
Cartesian
3.794 5.367 1.695 Pr
1.268 1.789 4.899 Pr
3.801 6.785 5.166 Mg
1.261 0.372 1.428 Mg
3.801 3.950 5.166 Mg
1.261 3.206 1.428 Mg
1.269 5.367 3.753 Mg
3.792 1.789 2.841 Mg
1.263 5.367 6.363 Au
3.798 1.789 0.231 Au